[1]
Computed, not measured: a relaxed Tb2Dy9Tm crystal at the GGA-PBE level of DFT.

Its offset from the most stable computed form is 0.00 eV/f.u. For the total DFT energy (no corrections), the calculation gives -4.575 eV/atom.

Cell lengths 4.998, 4.998, 14.992 Å; angles 90.00, 90.00, 90.00 degrees
Fractional positions:
Tb  0.000  0.000  0.333
Tb  0.000  0.000  0.667
Dy  0.500  0.500  0.667
Dy  0.500  0.000  0.166
Dy  0.500  0.000  0.834
Dy  0.500  0.000  0.500
Dy  0.000  0.500  0.166
Dy  0.000  0.500  0.834
Dy  0.500  0.500  0.000
Dy  0.500  0.500  0.333
Dy  0.000  0.500  0.500
Tm  0.000  0.000  0.000


[2]
Computed, not measured: a relaxed YTl2As crystal at the GGA-PBE level of DFT.

Its offset from the most stable computed form is 0.67 eV/f.u. For the total DFT energy (no corrections), the calculation gives -4.300 eV/atom.

Cell lengths 8.714, 8.714, 8.714 Å; angles 27.24, 27.24, 27.24 degrees
Fractional positions:
Tl  0.245  0.245  0.245
Tl  0.014  0.014  0.014
Y  0.483  0.483  0.483
As  0.758  0.758  0.758


[3]
Computed, not measured: a relaxed LiCaPd crystal at the GGA-PBE level of DFT.

Its offset from the most stable computed form is 0.42 eV/f.u. For the total DFT energy (no corrections), the calculation gives -3.366 eV/atom.

Cell lengths 4.704, 4.704, 4.704 Å; angles 60.00, 60.00, 60.00 degrees
Fractional positions:
Li  0.500  0.500  0.500
Pd  0.250  0.250  0.250
Ca  0.000  0.000  0.000


[4]
Computed, not measured: a relaxed Tb2Dy5Co4 crystal at the GGA-PBE level of DFT.

For the total DFT energy (no corrections), the calculation gives -5.460 eV/atom.

Cell lengths 6.467, 6.795, 7.729 Å; angles 75.73, 65.27, 61.59 degrees
Fractional positions:
Tb  0.719  0.187  0.376
Tb  0.281  0.813  0.624
Dy  0.186  0.250  0.892
Dy  0.328  0.750  0.108
Dy  0.814  0.750  0.108
Dy  0.672  0.250  0.892
Dy  0.000  0.500  0.500
Co  0.324  0.054  0.298
Co  0.220  0.400  0.160
Co  0.676  0.946  0.702
Co  0.780  0.600  0.840


no.,total moment (μB per formula unit),DOS(E_F) (states/eV/atom)
1,0.00,1.479
2,0.00,0.903
3,0.00,0.491
4,0.00,0.742